Entry 1:
## Ac2Tb (PBE)

Data for an optimized crystal structure of Ac2Tb.

The structure belongs to space group Fd-3m (No. 227, origin choice 2); the cell edges are 10.087, 10.087 and 10.087 Å and the angles 90.00°, 90.00° and 90.00°. The distinct sites, in fractional coordinates, are Ac at (0.000, 0.000, 0.000) and Tb at (0.125, 0.125, 0.625).

Its formation energy is 380.5 meV per atom. The energy above the most stable polymorph in this dataset comes out at 325.6 meV per atom. Its electronic total energy is -11.7 eV/f.u. The calculation puts the spin magnetization at 0.00 μB per cell. The value obtained for the density is 7.932 g/cm3.

Entry 2:
## PrSmEr2 (PBE)

Data for an optimized crystal structure of PrSmEr2.

The structure belongs to space group Pnma (No. 62); the cell edges are 10.164, 5.073 and 10.126 Å and the angles 90.00°, 90.00° and 90.00°. The distinct sites, in fractional coordinates, are Pr at (0.127, 0.250, 0.000), Sm at (0.125, 0.750, 0.253), Er at (0.122, 0.250, 0.500) and Er at (0.125, 0.750, 0.748).

Its formation energy is 23.1 meV per atom. The energy above the most stable polymorph in this dataset comes out at 6.4 meV per atom. Its electronic total energy is -18.5 eV/f.u. The calculation puts the spin magnetization at 0.00 μB per cell. The value obtained for the density is 7.961 g/cm3.

Entry 3:
## La2ScTl2 (PBE)

Data for an optimized crystal structure of La2ScTl2.

The structure belongs to space group P4/mbm (No. 127); the cell edges are 9.303, 9.303 and 3.624 Å and the angles 90.00°, 90.00° and 90.00°. The distinct sites, in fractional coordinates, are La at (0.120, 0.380, 0.000), Sc at (0.000, 0.000, 0.000) and Tl at (0.178, 0.678, 0.500).

Its formation energy is -21.0 meV per atom. The energy above the most stable polymorph in this dataset comes out at 288.1 meV per atom. Its electronic total energy is -21.0 eV/f.u. The calculation puts the spin magnetization at 0.00 μB per cell. The value obtained for the density is 7.746 g/cm3.

Entry 4:
## LaInPb2 (PBE)

Data for an optimized crystal structure of LaInPb2.

The structure belongs to space group C2/m (No. 12); the cell edges are 6.861, 11.461 and 3.604 Å and the angles 90.00°, 119.37° and 90.00°. The distinct sites, in fractional coordinates, are La at (0.000, 0.000, 0.000), In at (0.000, 0.500, 0.000) and Pb at (0.250, 0.250, 0.500).

Its formation energy is -254.4 meV per atom. Its electronic total energy is -16.1 eV/f.u. The calculation puts the spin magnetization at 0.00 μB per cell. The value obtained for the density is 8.984 g/cm3.

Entry 5:
## BaBeAl2Ir (PBE)

Data for an optimized crystal structure of BaBeAl2Ir.

The structure belongs to space group P4/mmm (No. 123); the cell edges are 4.813, 4.813 and 4.613 Å and the angles 90.00°, 90.00° and 90.00°. The distinct sites, in fractional coordinates, are Ba at (0.000, 0.000, 0.000), Be at (0.500, 0.500, 0.000), Al at (0.000, 0.500, 0.500) and Ir at (0.500, 0.500, 0.500).

Its formation energy is -376.1 meV per atom. Its electronic total energy is -23.9 eV/f.u. The calculation puts the spin magnetization at 0.00 μB per cell. The value obtained for the density is 6.101 g/cm3.

Entry 6:
## Sr2TlPdO6 (PBE)

Data for an optimized crystal structure of Sr2TlPdO6.

The structure belongs to space group P2_1/c (No. 14); the cell edges are 5.829, 5.983 and 10.013 Å and the angles 90.00°, 125.08° and 90.00°. The distinct sites, in fractional coordinates, are Sr at (0.236, 0.054, 0.249), Tl at (0.500, 0.000, 0.000), Pd at (0.000, 0.000, 0.500), O at (0.130, 0.221, 0.946), O at (0.234, 0.690, 0.952) and O at (0.334, 0.034, 0.736).

Its electronic total energy is -54.6 eV/f.u. The calculation puts the spin magnetization at 1.63 μB per cell. The uncorrected formation energy comes out at -13.9 eV per formula unit. The value obtained for the density is 6.763 g/cm3.

Entry 7:
## AcBiPb (PBE)

Data for an optimized crystal structure of AcBiPb.

The structure belongs to space group P3m1 (No. 156); the cell edges are 5.4121, 5.4121 and 4.2422 Å and the angles 90.00°, 90.00° and 120.00°. The distinct sites, in fractional coordinates, are Ac at (0.0000, 0.0000, 0.0000), Bi at (0.3333, 0.6667, 0.4970) and Pb at (0.6667, 0.3333, 0.5046).

Its formation energy is -437.7 meV per atom. The energy above the most stable polymorph in this dataset comes out at 157.7 meV per atom. Its electronic total energy is -13.0 eV/f.u. The calculation puts the spin magnetization at 0.00 μB per cell. The value obtained for the density is 9.925 g/cm3.

Entry 8:
## K3ZrNb (PBE)

Data for an optimized crystal structure of K3ZrNb.

The structure belongs to space group Pm-3m (No. 221); the cell edges are 6.136, 6.136 and 6.136 Å and the angles 90.00°, 90.00° and 90.00°. The distinct sites, in fractional coordinates, are K at (0.000, 0.000, 0.500), Zr at (0.000, 0.000, 0.000) and Nb at (0.500, 0.500, 0.500).

Its formation energy is 2500.9 meV per atom. The energy above the most stable polymorph in this dataset comes out at 205.1 meV per atom. Its electronic total energy is -9.4 eV/f.u. The calculation puts the spin magnetization at 0.00 μB per cell. The value obtained for the density is 2.167 g/cm3.